Computed, not measured: a relaxed TlSiAsBr2 crystal at the GGA-PBEsol level of DFT.

## Properties
Calculated total energy = -3.460 eV per atom
Theoretical density = 5.9 g cm⁻³

Lattice parameters (Å, degrees): 4.8676 5.1798 5.1798 90.00 90.00 90.00
Sites, in units of the cell vectors:
Tl  0.5000  0.5000  0.5000
Si  0.0000  0.0000  0.0000
As  0.5000  0.0000  0.0000
Br  0.0000  0.0000  0.5000
Br  0.0000  0.5000  0.0000